# PmPr2Tm4, optimized geometry, DFT GGA-PBE
# - magnetic moment (μB/f.u.) = 0.0
# - energy relative to the elements (eV/atom) = 0.26
# - energy above the most stable polymorph in this dataset (eV per formula unit) = 0.02
# - N(E_F) (states/eV/atom) = 1.733
data_PmPr2Tm4
_chemical_formula_sum 'Pm4 Pr8 Tm16'
_space_group_name_H-M_alt 'I m m a'
_space_group_IT_number 74
_space_group_name_Hall '-I 2b 2'
_cell_length_a 6.6729
_cell_length_b 11.4808
_cell_length_c 12.3029
_cell_angle_alpha 90.00
_cell_angle_beta 90.00
_cell_angle_gamma 90.00
loop_
_atom_site_label
_atom_site_type_symbol
_atom_site_fract_x
_atom_site_fract_y
_atom_site_fract_z
Pm1 Pm 0.2500 0.2500 0.2500
Pr1 Pr 0.0000 0.0000 0.0000
Pr2 Pr 0.0000 0.2500 0.7735
Tm1 Tm 0.0000 0.0085 0.3642
Tm2 Tm 0.2283 0.2500 0.5105